GGA-PBEsol LaTe2Au2, optimized geometry; symmetry = I4/mmm (139); formation energy (no corrections) = -573 meV per atom; DOS at the Fermi energy = 2.16 states/eV per cell
1.0
-2.017 2.017 7.640
2.017 -2.017 7.640
2.017 2.017 -7.640
La Te Au
1 2 2
Direct
0.000 0.000 0.000
0.394 0.394 0.000
0.606 0.606 0.000
0.250 0.750 0.500
0.750 0.250 0.500


GGA-PBEsol YGa2SbO, optimized geometry; symmetry = P4/mmm (123); formation energy (no corrections) = 1044 meV per atom; DOS at the Fermi energy = 5.51 states/eV per cell
1.0
5.595 0.000 0.000
0.000 5.595 0.000
0.000 0.000 5.609
Y Ga Sb O
1 2 1 1
Direct
0.000 0.000 0.000
0.000 0.500 0.000
0.500 0.000 0.000
0.000 0.000 0.500
0.500 0.500 0.500


GGA-PBEsol Ca3CdB, optimized geometry; symmetry = Pm-3m (221); DOS at the Fermi energy = 5.48 states/eV per cell; formation energy from the elements = 15.3 kJ/mol of atoms
1.0
5.225 0.000 0.000
0.000 5.225 0.000
0.000 0.000 5.225
Ca Cd B
3 1 1
Direct
0.000 0.000 0.500
0.000 0.500 0.000
0.500 0.000 0.000
0.500 0.500 0.500
0.000 0.000 0.000


GGA-PBEsol TlCuMo3, optimized geometry; symmetry = Pm-3m (221); DOS at the Fermi energy = 6.62 states/eV per cell; formation energy from the elements = 149.0 kJ/mol of atoms
1.0
4.499 0.000 0.000
0.000 4.499 0.000
0.000 0.000 4.499
Tl Cu Mo
1 1 3
Direct
0.000 0.000 0.000
0.500 0.500 0.500
0.000 0.500 0.500
0.500 0.000 0.500
0.500 0.500 0.000


GGA-PBEsol LiRe2AsIr, optimized geometry; symmetry = P4/mmm (123); DOS at the Fermi energy = 5.56 states/eV per cell; formation energy from the elements = 135.1 kJ/mol of atoms
1.0
4.161 0.000 0.000
0.000 4.161 0.000
0.000 0.000 3.961
Li Re As Ir
1 2 1 1
Direct
0.000 0.000 0.000
0.000 0.500 0.000
0.500 0.000 0.000
0.000 0.000 0.500
0.500 0.500 0.500


GGA-PBEsol MgTlW2, optimized geometry; symmetry = Imm2 (44); distance to the lowest polymorph of the same formula = 0.127 eV per atom; DOS at the Fermi energy = 2.51 states/eV per cell; formation energy from the elements = 67.2 kJ/mol of atoms
1.0
-1.719 2.355 4.475
1.719 -2.355 4.475
1.719 2.355 -4.475
Mg Tl W
1 1 2
Direct
0.000 0.000 0.000
0.264 0.764 0.500
0.531 0.531 0.000
0.736 0.236 0.500


GGA-PBEsol LaRhSe4, optimized geometry; symmetry = F-43m (216); formation energy (no corrections) = 13 meV per atom; DOS at the Fermi energy = 4.77 states/eV per cell
1.0
0.000 3.959 3.959
3.959 0.000 3.959
3.959 3.959 0.000
La Rh Se
1 1 4
Direct
0.000 0.000 0.000
0.750 0.750 0.750
0.376 0.376 0.376
0.376 0.376 0.871
0.376 0.871 0.376
0.871 0.376 0.376


GGA-PBEsol Li2RhAu, optimized geometry; symmetry = C2/m (12); DOS at the Fermi energy = 2.38 states/eV per cell; formation energy from the elements = -25.4 kJ/mol of atoms
1.0
4.328 -1.365 0.000
4.328 1.365 0.000
-0.866 0.000 4.680
Li Rh Au
2 1 1
Direct
0.248 0.248 0.235
0.752 0.752 0.765
0.500 0.500 0.000
0.000 0.000 0.500


GGA-PBEsol LiNbOsPb2, optimized geometry; symmetry = P4/mmm (123); DOS at the Fermi energy = 3.61 states/eV per cell; formation energy from the elements = 98.1 kJ/mol of atoms
1.0
5.474 0.000 0.000
0.000 5.474 0.000
0.000 0.000 4.727
Li Nb Os Pb
1 1 1 2
Direct
0.000 0.000 0.000
0.500 0.500 0.500
0.500 0.500 0.000
0.000 0.500 0.500
0.500 0.000 0.500


GGA-PBEsol Hf3ZrH, optimized geometry; symmetry = Pm-3m (221); distance to the lowest polymorph of the same formula = 1.970 eV per atom; DOS at the Fermi energy = 4.84 states/eV per cell
1.0
5.068 0.000 0.000
0.000 5.068 0.000
0.000 0.000 5.068
Hf Zr H
3 1 1
Direct
0.000 0.000 0.500
0.000 0.500 0.000
0.500 0.000 0.000
0.000 0.000 0.000
0.500 0.500 0.500


GGA-PBEsol TaAl2As, optimized geometry; symmetry = Cm (8); DOS at the Fermi energy = 2.29 states/eV per cell; formation energy from the elements = -8.8 kJ/mol of atoms
1.0
4.743 -1.441 0.000
4.743 1.441 0.000
-0.435 0.000 4.830
Ta Al As
1 2 1
Direct
0.000 0.000 0.000
0.261 0.261 0.739
0.513 0.513 0.511
0.736 0.736 0.213


GGA-PBEsol TiAlH2Au, optimized geometry; symmetry = P4/mmm (123); DOS at the Fermi energy = 3.36 states/eV per cell; E = -20.61 eV/cell
1.0
3.608 0.000 0.000
0.000 3.608 0.000
0.000 0.000 5.567
Ti Al H Au
1 1 2 1
Direct
0.000 0.000 0.000
0.000 0.000 0.500
0.000 0.500 0.500
0.500 0.000 0.500
0.500 0.500 0.000